No. 1
This record from the Alexandria database describes crystalline Sm8Mg2Ni at its relaxed geometry. The functional is PBE-GGA.

Cell and atoms, written as CIF:
```
data_Sm8Mg2Ni
_cell_length_a 17.692
_cell_length_b 5.595
_cell_length_c 7.048
_cell_angle_alpha 90.00
_cell_angle_beta 110.68
_cell_angle_gamma 90.00
_space_group_name_H-M_alt 'C 1 2/m 1'
_space_group_IT_number 12
_space_group_name_Hall '-C 2y'
loop_
_atom_site_label
_atom_site_type_symbol
_atom_site_fract_x
_atom_site_fract_y
_atom_site_fract_z
Sm1 Sm 0.012 0.000 0.277
Sm2 Sm 0.097 0.500 0.909
Sm3 Sm 0.144 0.500 0.430
Sm4 Sm 0.198 0.000 0.756
Mg1 Mg 0.182 0.000 0.197
Ni1 Ni 0.000 0.500 0.500
```

Values from the calculation:
Its density of states at the Fermi level is 1.20 states/eV/atom. As for the formation energy: -14 meV per atom. The calculation puts the magnetic moment at 0.00 Bohr magnetons per cell.

***

No. 2
This record from the Alexandria database describes crystalline SmMg12Ni6 at its relaxed geometry. The functional is PBE-GGA.

Cell and atoms, written as CIF:
```
data_SmMg12Ni6
_cell_length_a 8.957
_cell_length_b 8.957
_cell_length_c 8.957
_cell_angle_alpha 90.00
_cell_angle_beta 90.00
_cell_angle_gamma 90.00
_space_group_name_H-M_alt 'I m -3'
_space_group_IT_number 204
_space_group_name_Hall '-I 2 2 3'
loop_
_atom_site_label
_atom_site_type_symbol
_atom_site_fract_x
_atom_site_fract_y
_atom_site_fract_z
Sm1 Sm 0.000 0.000 0.000
Mg1 Mg 0.000 0.295 0.190
Ni1 Ni 0.000 0.127 0.500
```

Values from the calculation:
Its density of states at the Fermi level is 0.66 states/eV/atom. As for the formation energy: 7 meV per atom. The calculation puts the magnetic moment at 0.00 Bohr magnetons per cell.

***

No. 3
This record from the Alexandria database describes crystalline SmMgNi17 at its relaxed geometry. The functional is PBE-GGA.

Cell and atoms, written as CIF:
```
data_SmMgNi17
_cell_length_a 8.2540
_cell_length_b 8.2540
_cell_length_c 12.0372
_cell_angle_alpha 90.00
_cell_angle_beta 90.00
_cell_angle_gamma 120.00
_space_group_name_H-M_alt 'R 3 m'
_space_group_IT_number 160
_space_group_name_Hall 'R 3 -2"'
loop_
_atom_site_label
_atom_site_type_symbol
_atom_site_fract_x
_atom_site_fract_y
_atom_site_fract_z
Sm1 Sm 0.0000 0.0000 0.0000
Mg1 Mg 0.0000 0.0000 0.6817
Ni1 Ni 0.0000 0.0000 0.2449
Ni2 Ni 0.0000 0.0000 0.4435
Ni3 Ni 0.0019 0.2954 0.3422
Ni4 Ni 0.0023 0.5011 0.8420
Ni5 Ni 0.0051 0.5025 0.4951
Ni6 Ni 0.0061 0.5031 0.1891
```

Values from the calculation:
Its density of states at the Fermi level is 1.46 states/eV/atom. As for the formation energy: -80 meV per atom. The calculation puts the magnetic moment at 24.36 Bohr magnetons per cell.

***

Number 1: calculated total energy -4.262 eV/atom. Number 2: calculated total energy -3.074 eV/atom. Number 3: calculated total energy -5.585 eV/atom.